DFT (PBE-GGA) results for NaTl12Cd6 after structural relaxation.

polymorph energy (0 for the lowest one): 0.00 kcal/mol of atoms
electronic total energy: -1.83 eV per atom
calculated formation energy: 0.02 eV per atom

Lattice parameters (Å, degrees): 14.6070 14.6070 8.7410 90.00 90.00 120.00
Space group R-3 (No. 148, hexagonal axes)
Unique sites:
Na: 0.0000 0.0000 0.0000
Tl: 0.0338 0.2718 0.3563
Tl: 0.0702 0.5648 0.6613
Cd: 0.0159 0.1315 0.6704